Here is a geometry-optimized Ac2CeH structure from Alexandria. Energies are from GGA-PBE.

Structure (extended XYZ):
```
4
Lattice="-0.704 1.996 2.964 -3.547 -0.759 -0.331 1.091 -7.384 5.232" Properties=species:S:1:pos:R:3 pbc="T T T"
H -2.126 0.619 1.316
Ac 0.874 -5.916 4.192
Ac 0.217 -1.468 1.040
Ce -1.580 -3.073 3.933
```

Here is a geometry-optimized AlFe2B structure from Alexandria. Energies are from GGA-PBE.

Structure (extended XYZ):
```
8
Lattice="6.224 0.000 0.000 0.000 6.224 0.000 3.112 3.112 2.259" Properties=species:S:1:pos:R:3 pbc="T T T"
B 3.112 3.112 0.000
B 3.112 6.224 1.130
Fe 4.154 1.556 0.565
Fe 2.069 4.668 0.565
Fe 4.668 5.181 1.695
Fe 7.780 7.266 1.695
Al 0.000 0.000 0.000
Al 6.224 3.112 1.130
```

Let's list V in order: 120.9 87.5 Å³/cell.
Let's list energy above the lowest structure with this stoichiometry in order: 5.40 25.07 kJ per mole of atoms.
Let's list density of states at the Fermi level in order: 7.71 2.82 states/eV/f.u..